A plane-wave DFT calculation with PBE was carried out for a relaxed Sr2CdIn crystal.

abc: 7.9668 5.7717 11.5462
angles: 90.00 90.00 90.00
Element x y z (fractional)
In (0.7502, 0.7500, 0.3775)
In (0.7498, 0.7500, 0.8776)
In (0.2502, 0.2500, 0.1224)
In (0.2498, 0.2500, 0.6225)
Sr (0.0000, 0.2500, 0.8737)
Sr (0.0000, 0.7500, 0.1263)
Sr (0.4999, 0.7500, 0.6264)
Sr (0.0000, 0.7500, 0.6265)
Sr (0.0000, 0.2500, 0.3735)
Sr (0.4999, 0.2500, 0.8735)
Sr (0.5001, 0.7500, 0.1265)
Sr (0.5001, 0.2500, 0.3736)
Cd (0.2499, 0.7500, 0.3778)
Cd (0.2501, 0.7500, 0.8778)
Cd (0.7499, 0.2500, 0.1222)
Cd (0.7501, 0.2500, 0.6222)

Values from the calculation:
Offset from the most stable computed form, meV/atom: 2
SG: Pmmn